The following is a GGA-PBE calculation of a relaxed Na2MgAs3Pt4 crystal, from Alexandria.

**E_tot**: -4.714 eV per atom
**ρ**: 9.26 Mg/m³
**Density of states at the Fermi level**: 5.98 states/eV/f.u.

Cell: 4.244 4.244 10.708 Å, 90.00 90.00 90.00°
Space group P-4m2 (No. 115)
Asymmetric unit:
Na (0.000, 0.500, 0.242) (multiplicity 2)
Mg (0.000, 0.000, 0.500) (multiplicity 1)
As (0.000, 0.500, 0.867) (multiplicity 2)
As (0.500, 0.500, 0.500) (multiplicity 1)
Pt (0.000, 0.000, 0.000) (multiplicity 1)
Pt (0.000, 0.500, 0.640) (multiplicity 2)
Pt (0.500, 0.500, 0.000) (multiplicity 1)